[1]
8
Lattice="5.322 0.000 0.000 0.000 3.470 6.004 0.000 -3.470 6.004" Properties=species:S:1:pos:R:3 comment="PrHo2Al PBE relaxed" magmom_total_mub_per_cell=0.0 dos_at_fermi_per_ev_cell=8.283 spacegroup="Amm2, No. 38" pbc="T T T"
Pr 0.000 -1.842 6.004
Pr 0.000 1.842 6.004
Ho 0.000 0.000 9.169
Ho 2.661 0.000 4.969
Ho 2.661 -1.822 8.146
Ho 2.661 1.822 8.146
Al 0.000 0.000 3.075
Al 2.661 0.000 10.986

***

[2]
12
Lattice="5.578 0.000 0.000 -2.789 4.831 0.000 0.000 0.000 9.174" Properties=species:S:1:pos:R:3 comment="PrHo3Al8 PBE relaxed" magmom_total_mub_per_cell=0.0 dos_at_fermi_per_ev_cell=5.682 spacegroup="P3m1, No. 156" pbc="T T T"
Pr 0.000 0.000 0.000
Ho 0.000 0.000 3.344
Ho 2.789 1.610 4.575
Ho 2.789 1.610 7.910
Al 0.000 1.568 6.229
Al -1.432 4.047 6.229
Al 0.000 3.221 3.981
Al 0.000 3.221 8.533
Al 2.789 0.043 1.711
Al 1.432 2.394 1.711
Al 1.432 4.047 6.229
Al 4.146 2.394 1.711

***

[3]
12
Lattice="2.835 1.637 9.289 -2.835 1.637 9.289 0.000 -3.273 9.289" Properties=species:S:1:pos:R:3 comment="Pr3HoAl8 PBE relaxed" magmom_total_mub_per_cell=0.0 dos_at_fermi_per_ev_cell=10.078 spacegroup="R3m, No. 160" pbc="T T T"
Pr 0.000 0.000 0.000
Pr 0.000 0.000 3.493
Pr 0.000 0.000 17.418
Ho 0.000 0.000 13.954
Al 0.000 -1.634 6.363
Al -1.415 0.817 6.363
Al -1.413 -0.816 11.069
Al 0.000 0.000 8.706
Al 1.415 0.817 6.363
Al 1.413 -0.816 11.069
Al 0.000 1.632 11.069
Al 0.000 0.000 22.660

***

[4]
10
Lattice="8.577 0.000 0.000 0.000 8.577 0.000 0.000 0.000 3.599" Properties=species:S:1:pos:R:3 comment="PrHo2Al2 PBE relaxed" magmom_total_mub_per_cell=0.0 dos_at_fermi_per_ev_cell=12.487 spacegroup="P4/mbm, No. 127" pbc="T T T"
Pr 0.000 0.000 0.000
Pr 4.289 4.289 0.000
Ho 1.534 2.755 1.799
Ho 2.755 7.044 1.799
Ho 5.822 1.534 1.799
Ho 7.044 5.822 1.799
Al 0.975 5.263 0.000
Al 3.314 0.975 0.000
Al 5.263 7.603 0.000
Al 7.603 3.314 0.000

***

[5]
12
Lattice="2.789 1.610 9.167 -2.789 1.610 9.167 0.000 -3.221 9.167" Properties=species:S:1:pos:R:3 comment="PrHo3Al8 PBE relaxed" magmom_total_mub_per_cell=0.0 dos_at_fermi_per_ev_cell=10.169 spacegroup="R3m, No. 160" pbc="T T T"
Pr 0.000 0.000 0.000
Ho 0.000 0.000 3.447
Ho 0.000 0.000 13.769
Ho 0.000 0.000 17.170
Al 0.000 -1.606 6.274
Al -1.390 0.803 6.274
Al -1.392 -0.804 10.925
Al 0.000 0.000 8.585
Al 1.390 0.803 6.274
Al 1.392 -0.804 10.925
Al 0.000 1.607 10.925
Al 0.000 0.000 22.357

***

[6]
12
Lattice="5.224 0.000 0.000 0.000 7.416 0.000 -2.604 0.000 7.849" Properties=species:S:1:pos:R:3 comment="Pr2HoAl3 PBE relaxed" magmom_total_mub_per_cell=0.0 dos_at_fermi_per_ev_cell=4.495 spacegroup="P2/m, No. 10" pbc="T T T"
Pr 0.000 0.000 0.000
Pr 0.000 3.708 0.000
Pr 0.006 0.000 5.283
Pr 2.615 0.000 2.566
Ho 0.006 3.708 5.222
Ho 2.615 3.708 2.628
Al 0.003 1.949 2.678
Al 0.003 5.467 2.678
Al 2.612 1.953 0.000
Al 2.612 5.463 0.000
Al 2.618 1.949 5.171
Al 2.618 5.467 5.171

***

no.,energy of formation from the pure elements (eV/f.u.)
1,-0.7
2,-5.9
3,-5.9
4,-1.4
5,-6.0
6,-2.1